This record from the Alexandria database describes a PBEsol-optimized structure of Ge2OsCO. The functional is SCAN.

Energy relative to the elements, uncorrected   1.12 eV per atom
Space group   No. 123

Lattice parameters (Å, degrees): 4.5658 4.5658 2.9374 90.00 90.00 90.00
Atoms (fractional coordinates):
Ge  0.0000  0.5000  0.0000
Ge  0.5000  0.0000  0.0000
Os  0.0000  0.0000  0.5000
C  0.5000  0.5000  0.0000
O  0.5000  0.5000  0.5000



This record from the Alexandria database describes a PBEsol-optimized structure of SrCrAsW2. The functional is SCAN.

Calculated formation energy   1.20 eV/atom
Space group   No. 123

Lattice parameters (Å, degrees): 4.6281 4.6281 4.6532 90.00 90.00 90.00
Atoms (fractional coordinates):
Sr  0.0000  0.0000  0.0000
Cr  0.5000  0.5000  0.5000
As  0.5000  0.5000  0.0000
W  0.0000  0.5000  0.5000
W  0.5000  0.0000  0.5000



This record from the Alexandria database describes a PBEsol-optimized structure of TiICl2. The functional is SCAN.

Energy relative to the elements, uncorrected   -0.93 eV per atom
Space group   No. 122

Lattice parameters (Å, degrees): 6.9564 6.9564 6.9564 117.59 117.59 94.23
Atoms (fractional coordinates):
Ti  0.0000  0.0000  0.0000
Ti  0.7500  0.2500  0.5000
I  0.2500  0.7500  0.5000
I  0.5000  0.5000  0.0000
Cl  0.3750  0.2293  0.3543
Cl  0.7707  0.1250  0.1457
Cl  0.8750  0.0207  0.6457
Cl  0.9793  0.6250  0.8543



This record from the Alexandria database describes a PBEsol-optimized structure of LiZr2Ir. The functional is SCAN.

Calculated formation energy   -0.39 eV/atom
Offset from the most stable computed form   22.3 kJ/mol of atoms
Space group   No. 123

Lattice parameters (Å, degrees): 3.3074 3.3074 6.4020 90.00 90.00 90.00
Atoms (fractional coordinates):
Li  0.0000  0.0000  0.0000
Zr  0.5000  0.5000  0.2531
Zr  0.5000  0.5000  0.7469
Ir  0.0000  0.0000  0.5000



This record from the Alexandria database describes a PBEsol-optimized structure of BaInSi2W. The functional is SCAN.

Energy relative to the elements, uncorrected   0.63 eV per atom
Space group   No. 123

Lattice parameters (Å, degrees): 4.8369 4.8369 5.7147 90.00 90.00 90.00
Atoms (fractional coordinates):
Ba  0.0000  0.0000  0.0000
In  0.5000  0.5000  0.0000
Si  0.0000  0.5000  0.5000
Si  0.5000  0.0000  0.5000
W  0.0000  0.0000  0.5000



This record from the Alexandria database describes a PBEsol-optimized structure of Nd6Ti4Al43. The functional is SCAN.

Calculated formation energy   -0.36 eV/atom
Space group   No. 193

Lattice parameters (Å, degrees): 11.0569 11.0569 17.9430 90.00 90.00 120.00
Atoms (fractional coordinates):
Nd  0.0000  0.4711  0.0958
Nd  0.0000  0.4711  0.4042
Nd  0.0000  0.5289  0.5958
Nd  0.0000  0.5289  0.9042
Nd  0.4711  0.0000  0.0958
Nd  0.4711  0.0000  0.4042
Nd  0.4711  0.4711  0.5958
Nd  0.4711  0.4711  0.9042
Nd  0.5289  0.0000  0.5958
Nd  0.5289  0.0000  0.9042
Nd  0.5289  0.5289  0.0958
Nd  0.5289  0.5289  0.4042
Ti  0.0000  0.0000  0.0000
Ti  0.0000  0.0000  0.5000
Ti  0.0000  0.2712  0.2500
Ti  0.0000  0.7288  0.7500
Ti  0.2712  0.0000  0.2500
Ti  0.2712  0.2712  0.7500
Ti  0.7288  0.0000  0.7500
Ti  0.7288  0.7288  0.2500
Al  0.0000  0.1459  0.7500
Al  0.0000  0.1553  0.1167
Al  0.0000  0.1553  0.3833
Al  0.0000  0.2503  0.5293
Al  0.0000  0.2503  0.9707
Al  0.0000  0.7497  0.0293
Al  0.0000  0.7497  0.4707
Al  0.0000  0.8447  0.6167
Al  0.0000  0.8447  0.8833
Al  0.0000  0.8541  0.2500
Al  0.1459  0.0000  0.7500
Al  0.1459  0.1459  0.2500
Al  0.1505  0.5530  0.2500
Al  0.1505  0.5975  0.7500
Al  0.1553  0.0000  0.1167
Al  0.1553  0.0000  0.3833
Al  0.1553  0.1553  0.6167
Al  0.1553  0.1553  0.8833
Al  0.1587  0.3922  0.6651
Al  0.1587  0.3922  0.8349
Al  0.1587  0.7665  0.1651
Al  0.1587  0.7665  0.3349
Al  0.2335  0.3922  0.1651
Al  0.2335  0.3922  0.3349
Al  0.2335  0.8413  0.6651
Al  0.2335  0.8413  0.8349
Al  0.2474  0.4948  0.0000
Al  0.2474  0.4948  0.5000
Al  0.2474  0.7526  0.0000
Al  0.2474  0.7526  0.5000
Al  0.2503  0.0000  0.5293
Al  0.2503  0.0000  0.9707
Al  0.2503  0.2503  0.0293
Al  0.2503  0.2503  0.4707
Al  0.3333  0.6667  0.1264
Al  0.3333  0.6667  0.3736
Al  0.3333  0.6667  0.6264
Al  0.3333  0.6667  0.8736
Al  0.3922  0.1587  0.6651
Al  0.3922  0.1587  0.8349
Al  0.3922  0.2335  0.1651
Al  0.3922  0.2335  0.3349
Al  0.4025  0.5530  0.7500
Al  0.4025  0.8495  0.2500
Al  0.4470  0.5975  0.2500
Al  0.4470  0.8495  0.7500
Al  0.4948  0.2474  0.0000
Al  0.4948  0.2474  0.5000
Al  0.5052  0.7526  0.0000
Al  0.5052  0.7526  0.5000
Al  0.5530  0.1505  0.2500
Al  0.5530  0.4025  0.7500
Al  0.5975  0.1505  0.7500
Al  0.5975  0.4470  0.2500
Al  0.6078  0.7665  0.6651
Al  0.6078  0.7665  0.8349
Al  0.6078  0.8413  0.1651
Al  0.6078  0.8413  0.3349
Al  0.6667  0.3333  0.1264
Al  0.6667  0.3333  0.3736
Al  0.6667  0.3333  0.6264
Al  0.6667  0.3333  0.8736
Al  0.7497  0.0000  0.0293
Al  0.7497  0.0000  0.4707
Al  0.7497  0.7497  0.5293
Al  0.7497  0.7497  0.9707
Al  0.7526  0.2474  0.0000
Al  0.7526  0.2474  0.5000
Al  0.7526  0.5052  0.0000
Al  0.7526  0.5052  0.5000
Al  0.7665  0.1587  0.1651
Al  0.7665  0.1587  0.3349
Al  0.7665  0.6078  0.6651
Al  0.7665  0.6078  0.8349
Al  0.8413  0.2335  0.6651
Al  0.8413  0.2335  0.8349
Al  0.8413  0.6078  0.1651
Al  0.8413  0.6078  0.3349
Al  0.8447  0.0000  0.6167
Al  0.8447  0.0000  0.8833
Al  0.8447  0.8447  0.1167
Al  0.8447  0.8447  0.3833
Al  0.8495  0.4025  0.2500
Al  0.8495  0.4470  0.7500
Al  0.8541  0.0000  0.2500
Al  0.8541  0.8541  0.7500